First-principles (GGA-PBE) data for crystalline In2AsP at its relaxed geometry, as listed in Alexandria via LeMat-Bulk.

Total DFT energy (no corrections): -3.891 eV/atom
Energy relative to the lowest polymorph listed for this composition: 218 meV/atom

Lattice parameters (Å, degrees): 3.9452 3.9452 7.0152 73.91 73.91 60.00
With the nearest neighbours (Å) after each atom.
Positions (direct):
P  0.7500  0.7500  0.7500  6 In 2.76-2.77
In  0.0047  0.0047  0.9866  3 P 2.76-2.77, 3 As 2.86-2.88
In  0.4953  0.4953  0.5134  3 P 2.76-2.77, 3 As 2.86-2.88
As  0.2500  0.2500  0.2500  6 In 2.86-2.88



First-principles (GGA-PBE) data for crystalline In2AsP at its relaxed geometry, as listed in Alexandria via LeMat-Bulk.

Total DFT energy (no corrections): -3.591 eV/atom
Energy relative to the lowest polymorph listed for this composition: 519 meV/atom

Lattice parameters (Å, degrees): 4.9616 4.9616 4.9616 60.00 60.00 60.00
With the nearest neighbours (Å) after each atom.
Positions (direct):
In  0.7500  0.7500  0.7500  4 As 3.04, 4 P 3.04
In  0.2500  0.2500  0.2500  4 As 3.04, 4 P 3.04
P  0.0000  0.0000  0.0000  8 In 3.04
As  0.5000  0.5000  0.5000  8 In 3.04



First-principles (GGA-PBE) data for crystalline InAsP at its relaxed geometry, as listed in Alexandria via LeMat-Bulk.

Total DFT energy (no corrections): -3.915 eV/atom
Energy relative to the lowest polymorph listed for this composition: 260 meV/atom

Lattice parameters (Å, degrees): 7.6762 7.3420 3.2875 83.11 71.73 25.16
With the nearest neighbours (Å) after each atom.
Positions (direct):
As  0.0321  0.0321  0.9679  2 P 2.36
P  0.6468  0.6468  0.3532  2 As 2.36
In  0.3211  0.3211  0.6789  2 P 3.02, 4 In 3.29